Computed, not measured: crystalline LaScPb2 at its relaxed geometry at the PBE level of DFT.

```
4
Lattice="11.084 -0.044 -0.026 10.521 3.489 -0.026 10.521 1.678 3.060" Properties=species:S:1:pos:R:3 pbc="T T T"
La 24.161 3.854 2.263
Pb 32.001 5.104 2.997
Pb 7.944 1.267 0.744
Sc 16.210 2.585 1.518
```

## Properties
- Space group: R3m (160)
- Electronic total energy: -18.80 eV/cell
- ΔE_f: -12 kJ/mol of formula units
- Calculated volume: 120.7 Å³ per cell
- Total moment: 0.32 μB per cell